Here is a geometry-optimized AlH20C2S2NO14 structure from the Alexandria database. Energies are from GGA-PBEsol.

Unit cell a=6.4542 b=10.4849 c=12.0535 alpha=90.00 beta=112.72 gamma=90.00
Space group Pc (No. 7)
Unique sites:
Al 0.0000 0.2491 0.0000 x2
H 0.0085 0.3998 0.8278 x2
H 0.0086 0.4321 0.1459 x2
H 0.1408 0.3062 0.4241 x2
H 0.1854 0.2806 0.8481 x2
H 0.2396 0.4411 0.1155 x2
H 0.2854 0.1850 0.3753 x2
H 0.3091 0.0856 0.0951 x2
H 0.3654 0.3498 0.3778 x2
H 0.4101 0.1892 0.5894 x2
H 0.4272 0.2279 0.1207 x2
H 0.4779 0.3476 0.5939 x2
H 0.5725 0.2727 0.8800 x2
H 0.6829 0.1345 0.5079 x2
H 0.6954 0.4138 0.9046 x2
H 0.7553 0.3005 0.5108 x2
H 0.7583 0.0583 0.8843 x2
H 0.8072 0.2163 0.6498 x2
H 0.8166 0.2198 0.1517 x2
H 0.9883 0.0682 0.8523 x2
H 0.9889 0.0977 0.1705 x2
C 0.3030 0.2767 0.4225 x2
C 0.6947 0.2257 0.5548 x2
S 0.3260 0.0713 0.7648 x2
S 0.6762 0.4332 0.2351 x2
N 0.4678 0.2613 0.5474 x2
O 0.0878 0.3987 0.0943 x2
O 0.0906 0.3289 0.8840 x2
O 0.1107 0.0190 0.7644 x2
O 0.2906 0.1782 0.0680 x2
O 0.3274 0.0559 0.6419 x2
O 0.3387 0.2110 0.7918 x2
O 0.4779 0.4980 0.6474 x2
O 0.5181 0.0035 0.8540 x2
O 0.6598 0.2955 0.2027 x2
O 0.6799 0.4480 0.3577 x2
O 0.7108 0.3210 0.9325 x2
O 0.8857 0.4880 0.2298 x2
O 0.9082 0.1695 0.1153 x2
O 0.9119 0.0994 0.9058 x2

Output
energy: -5.59 eV/atom
V: 9.4 A^3/atom


Here is a geometry-optimized ScFeBr2 structure from the Alexandria database. Energies are from GGA-PBEsol.

Unit cell a=3.3560 b=3.3560 c=25.6371 alpha=90.00 beta=90.00 gamma=120.00
Space group R-3m (No. 166, hexagonal axes)
Unique sites:
Sc 0.0000 0.0000 0.0000 x3
Fe 0.0000 0.0000 0.5000 x3
Br 0.0000 0.0000 0.4061 x6

Output
raw formation energy: -1.2 eV per formula unit
energy: -5.12 eV/atom
V: 20.8 A^3/atom


Here is a geometry-optimized BiAsH2Rh structure from the Alexandria database. Energies are from GGA-PBEsol.

Unit cell a=3.7099 b=3.7099 c=5.5542 alpha=90.00 beta=90.00 gamma=90.00
Space group P4/mmm (No. 123)
Unique sites:
Bi 0.0000 0.0000 0.0000 x1
As 0.5000 0.5000 0.5000 x1
H 0.0000 0.5000 0.0000 x2
Rh 0.0000 0.0000 0.5000 x1

Output
energy: -4.37 eV/atom
V: 15.3 A^3/atom


Here is a geometry-optimized Li3La structure from the Alexandria database. Energies are from GGA-PBEsol.

Unit cell a=3.2976 b=3.2976 c=31.8532 alpha=90.00 beta=90.00 gamma=120.00
Space group R-3m (No. 166, hexagonal axes)
Unique sites:
Li 0.0000 0.0000 0.0000 x3
Li 0.0000 0.0000 0.2580 x6
La 0.0000 0.0000 0.5000 x3

Output
DFT formation energy: 0.0857 eV per atom
energy: -2.73 eV/atom
V: 25.0 A^3/atom


Here is a geometry-optimized ReW5 structure from the Alexandria database. Energies are from GGA-PBEsol.

Unit cell a=9.9320 b=3.1412 c=6.2858 alpha=90.00 beta=108.52 gamma=90.00
Space group C2/m (No. 12)
Unique sites:
Re 0.0000 0.0000 0.0000 x2
W 0.0000 0.0000 0.5000 x2
W 0.1660 0.5000 0.3332 x4
W 0.1680 0.5000 0.8338 x4

Output
DFT formation energy: 0.0363 eV per atom
energy: -13.69 eV/atom
V: 15.5 A^3/atom


Here is a geometry-optimized ScRh2 structure from the Alexandria database. Energies are from GGA-PBEsol.

Unit cell a=5.4409 b=4.0209 c=8.2760 alpha=90.00 beta=90.00 gamma=90.00
Space group Pnma (No. 62)
Unique sites:
Sc 0.1550 0.2500 0.1045 x4
Rh 0.0944 0.2500 0.7523 x4
Rh 0.1416 0.2500 0.4261 x4

Output
DFT formation energy: -0.6544 eV per atom
energy: -8.28 eV/atom
V: 15.1 A^3/atom


Here is a geometry-optimized CoAs2Br structure from the Alexandria database. Energies are from GGA-PBEsol.

Unit cell a=2.9375 b=4.4715 c=10.4929 alpha=90.00 beta=90.00 gamma=90.00
Space group Immm (No. 71)
Unique sites:
Co 0.0000 0.0000 0.0000 x2
As 0.0000 0.5000 0.3128 x4
Br 0.0000 0.0000 0.5000 x2

Output
raw formation energy: 1.1 eV per formula unit
energy: -4.67 eV/atom
V: 17.2 A^3/atom


Here is a geometry-optimized Li2TaTe structure from the Alexandria database. Energies are from GGA-PBEsol.

Unit cell a=2.9167 b=2.9167 c=9.1775 alpha=90.00 beta=90.00 gamma=90.00
Space group P4/mmm (No. 123)
Unique sites:
Li 0.0000 0.0000 0.2499 x2
Ta 0.5000 0.5000 0.0000 x1
Te 0.5000 0.5000 0.5000 x1

Output
raw formation energy: 1.0 eV per formula unit
energy: -4.74 eV/atom
V: 19.5 A^3/atom


Here is a geometry-optimized TaMo5 structure from the Alexandria database. Energies are from GGA-PBEsol.

Unit cell a=5.0945 b=5.0945 c=4.5227 alpha=90.00 beta=90.00 gamma=120.00
Space group P6/mmm (No. 191)
Unique sites:
Ta 0.0000 0.0000 0.0000 x1
Mo 0.0000 0.5000 0.5000 x3
Mo 0.3333 0.6667 0.0000 x2

Output
DFT formation energy: 0.4767 eV per atom
energy: -11.42 eV/atom
V: 16.9 A^3/atom


Here is a geometry-optimized Sr2GdCu2IrO8 structure from the Alexandria database. Energies are from GGA-PBEsol.

Unit cell a=11.6340 b=5.3927 c=5.3930 alpha=90.00 beta=90.00 gamma=90.00
Space group Amm2 (No. 38)
Unique sites:
Sr 0.1968 0.0000 0.0000 x4
Gd 0.5000 0.0000 0.9996 x2
Cu 0.3593 0.0000 0.4996 x4
Ir 0.0000 0.0000 0.5012 x2
O 0.0000 0.2492 0.7521 x4
O 0.1731 0.0000 0.5009 x4
O 0.3734 0.2500 0.2497 x8

Output
raw formation energy: -25.5 eV per formula unit
energy: -7.43 eV/atom
V: 12.1 A^3/atom


Here is a geometry-optimized Cs3CaMg structure from the Alexandria database. Energies are from GGA-PBEsol.

Unit cell a=7.3923 b=7.3923 c=7.3923 alpha=90.00 beta=90.00 gamma=90.00
Space group Pm-3m (No. 221)
Unique sites:
Cs 0.0000 0.0000 0.5000 x3
Ca 0.5000 0.5000 0.5000 x1
Mg 0.0000 0.0000 0.0000 x1

Output
DFT formation energy: 0.3914 eV per atom
energy: -0.94 eV/atom
V: 80.8 A^3/atom


Here is a geometry-optimized NbIrSeN2 structure from the Alexandria database. Energies are from GGA-PBEsol.

Unit cell a=3.6896 b=3.6896 c=7.0875 alpha=90.00 beta=90.00 gamma=90.00
Space group P4/mmm (No. 123)
Unique sites:
Nb 0.0000 0.0000 0.0000 x1
Ir 0.5000 0.5000 0.5000 x1
Se 0.5000 0.5000 0.0000 x1
N 0.0000 0.5000 0.5000 x2

Output
raw formation energy: 4.6 eV per formula unit
energy: -7.39 eV/atom
V: 19.3 A^3/atom


Here is a geometry-optimized Mg5In2 structure from the Alexandria database. Energies are from GGA-PBEsol.

Unit cell a=7.3499 b=14.0492 c=6.1479 alpha=90.00 beta=90.00 gamma=90.00
Space group Ibam (No. 72)
Unique sites:
Mg 0.0000 0.0000 0.2500 x4
Mg 0.0000 0.2328 0.2500 x8
Mg 0.1610 0.4135 0.0000 x8
In 0.2329 0.3773 0.5000 x8

Output
DFT formation energy: -0.1025 eV per atom
energy: -2.18 eV/atom
V: 22.7 A^3/atom


Here is a geometry-optimized Be2SbRh structure from the Alexandria database. Energies are from GGA-PBEsol.

Unit cell a=3.7702 b=3.7702 c=7.3696 alpha=90.00 beta=90.00 gamma=90.00
Space group I4/mmm (No. 139)
Unique sites:
Be 0.0000 0.5000 0.2500 x4
Sb 0.0000 0.0000 0.0000 x2
Rh 0.0000 0.0000 0.5000 x2

Output
raw formation energy: 0.0 eV per formula unit
energy: -5.16 eV/atom
V: 13.1 A^3/atom


Here is a geometry-optimized HgWI2O structure from the Alexandria database. Energies are from GGA-PBEsol.

Unit cell a=5.6066 b=5.6066 c=3.8070 alpha=90.00 beta=90.00 gamma=90.00
Space group P4/mmm (No. 123)
Unique sites:
Hg 0.0000 0.0000 0.0000 x1
W 0.5000 0.5000 0.5000 x1
I 0.0000 0.5000 0.5000 x2
O 0.5000 0.5000 0.0000 x1

Output
raw formation energy: -1.3 eV per formula unit
energy: -4.90 eV/atom
V: 23.9 A^3/atom


Here is a geometry-optimized LaScNi2 structure from the Alexandria database. Energies are from GGA-PBEsol.

Unit cell a=3.2834 b=3.2834 c=7.0094 alpha=90.00 beta=90.00 gamma=90.00
Space group P4mm (No. 99)
Unique sites:
La 0.0000 0.0000 0.0000 x1
Sc 0.5000 0.5000 0.5855 x1
Ni 0.0000 0.0000 0.4117 x1
Ni 0.5000 0.5000 0.2366 x1

Output
DFT formation energy: -0.0903 eV per atom
energy: -6.16 eV/atom
V: 18.9 A^3/atom


Here is a geometry-optimized SbW2Br structure from the Alexandria database. Energies are from GGA-PBEsol.

Unit cell a=3.2474 b=3.2474 c=6.5094 alpha=90.00 beta=90.00 gamma=90.00
Space group P4/mmm (No. 123)
Unique sites:
Sb 0.0000 0.0000 0.0000 x1
W 0.5000 0.5000 0.2438 x2
Br 0.0000 0.0000 0.5000 x1

Output
raw formation energy: 4.1 eV per formula unit
energy: -7.49 eV/atom
V: 17.2 A^3/atom


Here is a geometry-optimized NbCOF2 structure from the Alexandria database. Energies are from GGA-PBEsol.

Unit cell a=4.4227 b=4.4227 c=2.8009 alpha=90.00 beta=90.00 gamma=90.00
Space group P4/mmm (No. 123)
Unique sites:
Nb 0.0000 0.0000 0.0000 x1
C 0.5000 0.5000 0.5000 x1
O 0.5000 0.5000 0.0000 x1
F 0.0000 0.5000 0.5000 x2

Output
raw formation energy: 1.2 eV per formula unit
energy: -5.66 eV/atom
V: 11.0 A^3/atom


Here is a geometry-optimized Mn3MoIr structure from the Alexandria database. Energies are from GGA-PBEsol.

Unit cell a=4.6226 b=4.6226 c=4.6226 alpha=90.00 beta=90.00 gamma=90.00
Space group Pm-3m (No. 221)
Unique sites:
Mn 0.0000 0.0000 0.5000 x3
Mo 0.5000 0.5000 0.5000 x1
Ir 0.0000 0.0000 0.0000 x1

Output
DFT formation energy: 1.6573 eV per atom
energy: -8.52 eV/atom
V: 19.8 A^3/atom


Here is a geometry-optimized Er2Al3Co structure from the Alexandria database. Energies are from GGA-PBEsol.

Unit cell a=5.4168 b=5.4168 c=8.3965 alpha=90.00 beta=90.00 gamma=120.00
Space group P6_3/mmc (No. 194)
Unique sites:
Er 0.3333 0.6667 0.0552 x4
Al 0.1617 0.3235 0.7500 x6
Co 0.0000 0.0000 0.0000 x2

Output
DFT formation energy: -0.4996 eV per atom
energy: -5.48 eV/atom
V: 17.8 A^3/atom